[1]
VASP calculation (PBE) on a geometry-optimized Tb2Zn5Au3 structure.

## Properties
Its theoretical density is 10.6 g/cm3. The symmetry is Ibam, No. 72. The density of states at the Fermi level comes out at 7.70 states/eV per cell. The offset from the most stable computed form comes out at 19 meV per atom.

Unit cell a=8.7129 b=8.7129 c=8.7129 alpha=98.86 beta=93.65 gamma=141.47
Last column: nearest neighbours and their distance in Å.
Positions (direct):
Tb 0.2412 0.1247 0.3659  4 Au 3.05-3.14, 4 Zn 3.11-3.20
Tb 0.2588 0.6247 0.8835  4 Au 3.05-3.14, 4 Zn 3.11-3.20
Tb 0.7412 0.3753 0.1165  4 Au 3.05-3.14, 4 Zn 3.11-3.20
Tb 0.7588 0.8753 0.6341  4 Au 3.05-3.14, 4 Zn 3.11-3.20
Zn 0.1336 0.8658 0.9994  2 Zn 2.56, 3 Au 2.56-2.63
Zn 0.2500 0.5072 0.2572  3 Zn 2.56-2.75, 2 Au 2.70
Zn 0.2500 0.7500 0.5000  4 Au 2.68, 4 Zn 2.75-2.87
Zn 0.2500 0.9928 0.7428  3 Zn 2.56-2.75, 2 Au 2.70
Zn 0.3664 0.3658 0.7322  2 Zn 2.56, 3 Au 2.56-2.63
Zn 0.6336 0.6342 0.2678  2 Zn 2.56, 3 Au 2.56-2.63
Zn 0.7500 0.0072 0.2572  3 Zn 2.56-2.75, 2 Au 2.70
Zn 0.7500 0.2500 0.5000  4 Au 2.68, 4 Zn 2.75-2.87
Zn 0.7500 0.4928 0.7428  3 Zn 2.56-2.75, 2 Au 2.70
Zn 0.8664 0.1342 0.0006  2 Zn 2.56, 3 Au 2.56-2.63
Au 0.1522 0.3801 0.5323  5 Zn 2.56-2.70
Au 0.2500 0.2500 0.0000  6 Zn 2.63-2.91, 2 Au 2.87
Au 0.3478 0.8801 0.2279  5 Zn 2.56-2.70
Au 0.6522 0.1199 0.7721  5 Zn 2.56-2.70
Au 0.7500 0.7500 0.0000  6 Zn 2.63-2.91, 2 Au 2.87
Au 0.8478 0.6199 0.4677  5 Zn 2.56-2.70

[2]
VASP calculation (PBE) on a geometry-optimized TbZn2Au10 structure.

## Properties
Its theoretical density is 15.3 g/cm3. The symmetry is Fmmm, No. 69. The density of states at the Fermi level comes out at 4.27 states/eV per cell. Its total energy is -3.3281 eV/atom.

Unit cell a=9.4320 b=7.2709 c=7.1670 alpha=81.58 beta=49.69 gamma=48.73
Last column: nearest neighbours and their distance in Å.
Positions (direct):
Tb 0.0000 0.0000 0.0000  12 Au 3.14-3.42
Zn 0.0000 0.0000 0.5000  8 Au 2.69-2.75, 2 Zn 2.76
Zn 0.5000 0.5000 0.0000  8 Au 2.69-2.75, 2 Zn 2.76
Au 0.0000 0.5000 0.0000  10 Au 2.76-2.94
Au 0.0132 0.6671 0.3329  2 Zn 2.75, 5 Au 2.94-2.98
Au 0.2856 0.5070 0.4930  2 Zn 2.69, 7 Au 2.79-2.98
Au 0.3329 0.9868 0.0132  2 Zn 2.75, 5 Au 2.94-2.98
Au 0.4930 0.7144 0.2856  2 Zn 2.69, 7 Au 2.79-2.98
Au 0.5000 0.0000 0.5000  10 Au 2.76-2.94
Au 0.5070 0.2856 0.7144  2 Zn 2.69, 7 Au 2.79-2.98
Au 0.6671 0.0132 0.9868  2 Zn 2.75, 5 Au 2.94-2.98
Au 0.7144 0.4930 0.5070  2 Zn 2.69, 7 Au 2.79-2.98
Au 0.9868 0.3329 0.6671  2 Zn 2.75, 5 Au 2.94-2.98

Number 1: volume 19.42 A^3/atom. Number 2: volume 18.91 A^3/atom.